Compound: PrHoLuPu
Source: the Alexandria database
Functional: GGA-PBE
Structure: relaxed

Geometry as extended XYZ:
```
4
Lattice="-0.285 4.747 2.982 -4.880 2.735 0.462 -2.723 0.072 4.908" Properties=species:S:1:pos:R:3 pbc="T T T"
Pr -1.972 1.889 2.088
Lu 0.000 0.000 0.000
Ho -3.944 3.777 4.176
Pu -5.916 5.666 6.264
```

Values from the calculation:
Total magnetic moment in μB/cell: 6.13
Total energy in eV for the cell shown: -27.408
Calculated formation energy in eV/atom: 0.20
SG: F-43m